(1)
MgHgS2 | PBE | optimized geometry

The structure in CIF format:
```
data_MgHgS2
_chemical_formula_sum 'Mg1 Hg1 S2'
_cell_length_a 3.839
_cell_length_b 3.839
_cell_length_c 5.442
_cell_angle_alpha 90.00
_cell_angle_beta 90.00
_cell_angle_gamma 90.00
_space_group_name_H-M_alt 'P 1'
_space_group_IT_number 1
loop_
_space_group_symop_operation_xyz
'x,y,z'
loop_
_atom_site_label
_atom_site_fract_x
_atom_site_fract_y
_atom_site_fract_z
S1 0.000 0.000 0.000
S2 0.500 0.500 0.500
Hg1 0.500 0.500 0.000
Mg1 0.000 0.000 0.500
```

## Properties
ρ: 5.98 g/cm3
DOS at the Fermi energy: 0.354 states/eV/atom
raw total energy: -3.1786 eV/atom

=====

(2)
MgHgS2 | PBE | optimized geometry

The structure in CIF format:
```
data_MgHgS2
_chemical_formula_sum 'Mg4 Hg4 S8'
_cell_length_a 7.171
_cell_length_b 8.238
_cell_length_c 6.740
_cell_angle_alpha 90.00
_cell_angle_beta 90.00
_cell_angle_gamma 90.00
_space_group_name_H-M_alt 'P 1'
_space_group_IT_number 1
loop_
_space_group_symop_operation_xyz
'x,y,z'
loop_
_atom_site_label
_atom_site_fract_x
_atom_site_fract_y
_atom_site_fract_z
Hg1 0.590 0.124 0.999
Hg2 0.410 0.876 0.499
Hg3 0.090 0.376 0.999
Hg4 0.910 0.624 0.499
S1 0.411 0.866 0.114
S2 0.428 0.383 0.135
S3 0.072 0.883 0.635
S4 0.572 0.617 0.635
S5 0.089 0.366 0.614
S6 0.589 0.134 0.614
S7 0.911 0.634 0.114
S8 0.928 0.117 0.135
Mg1 0.085 0.875 0.001
Mg2 0.415 0.375 0.501
Mg3 0.585 0.625 0.001
Mg4 0.915 0.125 0.501
```

## Properties
ρ: 4.82 g/cm3
DOS at the Fermi energy: 0.000 states/eV/atom
raw total energy: -3.3065 eV/atom

=====

(3)
MgHgS | PBE | optimized geometry

The structure in CIF format:
```
data_MgHgS
_chemical_formula_sum 'Mg2 Hg2 S2'
_cell_length_a 4.183
_cell_length_b 4.189
_cell_length_c 11.514
_cell_angle_alpha 90.22
_cell_angle_beta 90.01
_cell_angle_gamma 119.95
_space_group_name_H-M_alt 'P 1'
_space_group_IT_number 1
loop_
_space_group_symop_operation_xyz
'x,y,z'
loop_
_atom_site_label
_atom_site_fract_x
_atom_site_fract_y
_atom_site_fract_z
S1 0.325 0.635 0.086
S2 0.990 0.964 0.831
Mg1 0.323 0.631 0.861
Mg2 0.992 0.968 0.056
Hg1 0.991 0.972 0.355
Hg2 0.324 0.639 0.562
```

## Properties
ρ: 4.88 g/cm3
DOS at the Fermi energy: 0.000 states/eV/atom
raw total energy: -2.8703 eV/atom

=====

(4)
MgHgS2 | PBE | optimized geometry

The structure in CIF format:
```
data_MgHgS2
_chemical_formula_sum 'Mg2 Hg2 S4'
_cell_length_a 7.118
_cell_length_b 4.153
_cell_length_c 7.931
_cell_angle_alpha 74.81
_cell_angle_beta 62.84
_cell_angle_gamma 90.00
_space_group_name_H-M_alt 'P 1'
_space_group_IT_number 1
loop_
_space_group_symop_operation_xyz
'x,y,z'
loop_
_atom_site_label
_atom_site_fract_x
_atom_site_fract_y
_atom_site_fract_z
Hg1 0.705 0.098 0.465
Hg2 0.800 0.858 0.952
Mg1 0.208 0.607 0.450
Mg2 0.289 0.352 0.962
S1 0.501 0.908 0.849
S2 0.595 0.664 0.335
S3 0.043 0.425 0.817
S4 0.115 0.167 0.330
```

## Properties
ρ: 4.81 g/cm3
DOS at the Fermi energy: 0.000 states/eV/atom
raw total energy: -3.3049 eV/atom

=====

(5)
Mg3HgS4 | PBE | optimized geometry

The structure in CIF format:
```
data_Mg3HgS4
_chemical_formula_sum 'Mg6 Hg2 S8'
_cell_length_a 6.635
_cell_length_b 7.080
_cell_length_c 8.162
_cell_angle_alpha 90.00
_cell_angle_beta 90.00
_cell_angle_gamma 90.00
_space_group_name_H-M_alt 'P 1'
_space_group_IT_number 1
loop_
_space_group_symop_operation_xyz
'x,y,z'
loop_
_atom_site_label
_atom_site_fract_x
_atom_site_fract_y
_atom_site_fract_z
S1 0.131 0.820 0.000
S2 0.632 0.660 0.759
S3 0.609 0.164 0.000
S4 0.631 0.180 0.500
S5 0.132 0.340 0.741
S6 0.109 0.836 0.500
S7 0.632 0.660 0.241
S8 0.132 0.340 0.259
Mg1 0.504 0.333 0.250
Mg2 0.004 0.667 0.750
Mg3 0.503 0.830 0.000
Mg4 0.504 0.333 0.750
Mg5 0.004 0.667 0.250
Mg6 0.003 0.170 0.500
Hg1 0.001 0.166 0.000
Hg2 0.501 0.834 0.500
```

## Properties
ρ: 3.48 g/cm3
DOS at the Fermi energy: 0.000 states/eV/atom
raw total energy: -3.7962 eV/atom

=====

(6)
MgHgS | PBE | optimized geometry

The structure in CIF format:
```
data_MgHgS
_chemical_formula_sum 'Mg2 Hg2 S2'
_cell_length_a 4.274
_cell_length_b 8.160
_cell_length_c 4.663
_cell_angle_alpha 90.00
_cell_angle_beta 90.00
_cell_angle_gamma 90.00
_space_group_name_H-M_alt 'P 1'
_space_group_IT_number 1
loop_
_space_group_symop_operation_xyz
'x,y,z'
loop_
_atom_site_label
_atom_site_fract_x
_atom_site_fract_y
_atom_site_fract_z
S1 0.000 0.870 0.000
S2 0.500 0.130 0.500
Mg1 0.000 0.974 0.500
Mg2 0.500 0.026 0.000
Hg1 0.500 0.582 0.500
Hg2 0.000 0.418 0.000
```

## Properties
ρ: 5.25 g/cm3
DOS at the Fermi energy: 0.000 states/eV/atom
raw total energy: -2.8170 eV/atom

=====

(7)
MgHg2Se2S | PBE | optimized geometry

The structure in CIF format:
```
data_MgHg2Se2S
_chemical_formula_sum 'Mg2 Hg4 Se4 S2'
_cell_length_a 7.026
_cell_length_b 7.429
_cell_length_c 7.430
_cell_angle_alpha 120.00
_cell_angle_beta 90.00
_cell_angle_gamma 90.00
_space_group_name_H-M_alt 'P 1'
_space_group_IT_number 1
loop_
_space_group_symop_operation_xyz
'x,y,z'
loop_
_atom_site_label
_atom_site_fract_x
_atom_site_fract_y
_atom_site_fract_z
Mg1 0.323 0.849 0.000
Mg2 0.823 0.151 0.000
Se1 0.687 0.170 0.683
Se2 0.187 0.513 0.683
Se3 0.687 0.487 0.317
Se4 0.187 0.830 0.317
Hg1 0.301 0.485 0.324
Hg2 0.301 0.161 0.676
Hg3 0.801 0.839 0.324
Hg4 0.801 0.515 0.676
S1 0.174 0.149 0.000
S2 0.674 0.851 0.000
```

## Properties
ρ: 6.09 g/cm3
raw total energy: -2.7735 eV/atom

=====

(8)
MgSiHg2S4 | PBE | optimized geometry

The structure in CIF format:
```
data_MgSiHg2S4
_chemical_formula_sum 'Mg1 Si1 Hg2 S4'
_cell_length_a 6.601
_cell_length_b 6.605
_cell_length_c 6.458
_cell_angle_alpha 120.76
_cell_angle_beta 120.76
_cell_angle_gamma 89.99
_space_group_name_H-M_alt 'P 1'
_space_group_IT_number 1
loop_
_space_group_symop_operation_xyz
'x,y,z'
loop_
_atom_site_label
_atom_site_fract_x
_atom_site_fract_y
_atom_site_fract_z
S1 0.808 0.423 0.212
S2 0.049 0.068 0.732
S3 0.683 0.664 0.732
S4 0.404 0.788 0.211
Hg1 0.236 0.236 0.472
Hg2 0.485 0.985 0.970
Si1 0.736 0.736 0.472
Mg1 0.986 0.486 0.973
```

## Properties
ρ: 4.97 g/cm3
DOS at the Fermi energy: 0.276 states/eV/atom
raw total energy: -3.4811 eV/atom

=====

(9)
MgHgW2S | PBE | optimized geometry

The structure in CIF format:
```
data_MgHgW2S
_chemical_formula_sum 'Mg1 Hg1 W2 S1'
_cell_length_a 4.891
_cell_length_b 4.788
_cell_length_c 4.891
_cell_angle_alpha 90.00
_cell_angle_beta 90.00
_cell_angle_gamma 90.00
_space_group_name_H-M_alt 'P 1'
_space_group_IT_number 1
loop_
_space_group_symop_operation_xyz
'x,y,z'
loop_
_atom_site_label
_atom_site_fract_x
_atom_site_fract_y
_atom_site_fract_z
Mg1 0.000 0.000 0.000
W1 0.000 0.000 0.500
W2 0.500 0.000 0.000
S1 0.500 0.500 0.500
Hg1 0.000 0.500 0.000
```

## Properties
ρ: 9.06 g/cm3
DOS at the Fermi energy: 1.122 states/eV/atom
raw total energy: -3.9457 eV/atom

=====

(10)
Y2MgHgS | PBE | optimized geometry

The structure in CIF format:
```
data_Y2MgHgS
_chemical_formula_sum 'Y2 Mg1 Hg1 S1'
_cell_length_a 5.213
_cell_length_b 4.730
_cell_length_c 5.213
_cell_angle_alpha 90.00
_cell_angle_beta 90.00
_cell_angle_gamma 90.00
_space_group_name_H-M_alt 'P 1'
_space_group_IT_number 1
loop_
_space_group_symop_operation_xyz
'x,y,z'
loop_
_atom_site_label
_atom_site_fract_x
_atom_site_fract_y
_atom_site_fract_z
Y1 0.500 0.000 0.000
Y2 0.000 0.000 0.500
Mg1 0.000 0.500 0.000
S1 0.000 0.000 0.000
Hg1 0.500 0.500 0.500
```

## Properties
ρ: 5.62 g/cm3
DOS at the Fermi energy: 0.532 states/eV/atom
raw total energy: -4.4637 eV/atom

=====

(11)
Mg2ZnHgS4 | PBE | optimized geometry

The structure in CIF format:
```
data_Mg2ZnHgS4
_chemical_formula_sum 'Mg2 Zn1 Hg1 S4'
_cell_length_a 5.739
_cell_length_b 5.739
_cell_length_c 6.935
_cell_angle_alpha 114.43
_cell_angle_beta 114.43
_cell_angle_gamma 90.02
_space_group_name_H-M_alt 'P 1'
_space_group_IT_number 1
loop_
_space_group_symop_operation_xyz
'x,y,z'
loop_
_atom_site_label
_atom_site_fract_x
_atom_site_fract_y
_atom_site_fract_z
S1 0.141 0.141 0.747
S2 0.859 0.394 0.253
S3 0.394 0.859 0.253
S4 0.606 0.606 0.747
Mg1 0.250 0.750 0.500
Mg2 0.750 0.250 0.500
Zn1 0.500 0.500 0.000
Hg1 0.000 0.000 0.001
```

## Properties
ρ: 3.97 g/cm3
DOS at the Fermi energy: 0.000 states/eV/atom
raw total energy: -3.5970 eV/atom

=====

(12)
MgHg2Sb | PBE | optimized geometry

The structure in CIF format:
```
data_MgHg2Sb
_chemical_formula_sum 'Mg2 Hg4 Sb2'
_cell_length_a 4.349
_cell_length_b 4.349
_cell_length_c 11.333
_cell_angle_alpha 78.94
_cell_angle_beta 78.94
_cell_angle_gamma 90.00
_space_group_name_H-M_alt 'P 1'
_space_group_IT_number 1
loop_
_space_group_symop_operation_xyz
'x,y,z'
loop_
_atom_site_label
_atom_site_fract_x
_atom_site_fract_y
_atom_site_fract_z
Hg1 0.613 0.125 0.250
Hg2 0.875 0.863 0.750
Hg3 0.137 0.625 0.250
Hg4 0.375 0.387 0.750
Sb1 0.750 0.250 0.500
Sb2 0.000 0.000 0.000
Mg1 0.250 0.750 0.500
Mg2 0.500 0.500 0.000
```

## Properties
ρ: 8.81 g/cm3
DOS at the Fermi energy: 0.569 states/eV/atom
raw total energy: -1.6289 eV/atom

=====

Question: Look up the raw total energy of the first one.
Answer: -3.1786 eV/atom